No. 1
Here is a geometry-optimized CsNi3As structure from Alexandria via LeMat-Bulk. Energies are from GGA-PBE.

Its energy above the most stable polymorph in this dataset is 1577 meV/atom. For the magnetization, the calculation gives 0.00 μB/cell. The formation energy is 2.040 eV per atom. As for the calculated total energy: -2.53 eV/atom. For the density of states at the Fermi level, the calculation gives 0.88 states/eV per atom.

abc: 4.7835 4.7835 4.7835
angles: 90.00 90.00 90.00
Fractional positions:
Cs1 0.0000 0.0000 0.0000
Ni1 0.0000 0.0000 0.5000
Ni2 0.0000 0.5000 0.0000
Ni3 0.5000 0.0000 0.0000
As1 0.5000 0.5000 0.5000

No. 2
Here is a geometry-optimized Pr2NiHg structure from Alexandria via LeMat-Bulk. Energies are from GGA-PBE.

Its energy above the most stable polymorph in this dataset is 59 meV/atom. For the magnetization, the calculation gives 0.00 μB/cell. The formation energy is -0.266 eV per atom. As for the calculated total energy: -4.18 eV/atom. For the density of states at the Fermi level, the calculation gives 0.95 states/eV per atom.

abc: 4.1363 4.1363 23.1315
angles: 90.00 90.00 120.00
Fractional positions:
Pr1 0.0000 0.0000 0.0000
Pr2 0.0000 0.0000 0.2001
Pr3 0.3333 0.6667 0.6667
Pr4 0.3333 0.6667 0.8667
Pr5 0.6667 0.3333 0.3333
Pr6 0.6667 0.3333 0.5334
Ni1 0.0000 0.0000 0.6017
Ni2 0.3333 0.6667 0.2684
Ni3 0.6667 0.3333 0.9350
Hg1 0.0000 0.0000 0.7666
Hg2 0.3333 0.6667 0.4333
Hg3 0.6667 0.3333 0.1000